Entry 1:
Density functional theory data (PBE-GGA) for an optimized crystal structure of AsP2Se.

Cell lengths 9.0645, 9.0645, 9.0645 Å; angles 159.68, 157.48, 30.51 degrees
Fractional positions:
As (0.1835, 0.6835, 0.5000)
P (0.9043, 0.9043, 0.0000)
P (0.8245, 0.3245, 0.5000)
Se (0.5877, 0.5877, 0.0000)

Size of the total moment = 0.0 μB/cell
Crystal system = orthorhombic
Energy relative to the lowest polymorph listed for this composition = 65.3 meV/atom

***

Entry 2:
Density functional theory data (PBE-GGA) for an optimized crystal structure of AsP2Se.

Cell lengths 3.2515, 3.2515, 6.5537 Å; angles 90.00, 90.00, 90.00 degrees
Fractional positions:
As (0.5000, 0.5000, 0.7500)
P (0.0000, 0.0000, 0.9750)
P (0.0000, 0.0000, 0.5250)
Se (0.5000, 0.5000, 0.2500)

Size of the total moment = 0.0 μB/cell
Crystal system = tetragonal
Energy relative to the lowest polymorph listed for this composition = 481.9 meV/atom

***

Entry 3:
Density functional theory data (PBE-GGA) for an optimized crystal structure of AsP2Se.

Cell lengths 3.4501, 3.4501, 8.1946 Å; angles 90.00, 90.00, 90.00 degrees
Fractional positions:
As (0.5000, 0.5000, 0.7364)
P (0.0000, 0.0000, 0.1021)
P (0.5000, 0.5000, 0.0339)
Se (0.0000, 0.0000, 0.6276)

Size of the total moment = 0.0 μB/cell
Crystal system = tetragonal
Energy relative to the lowest polymorph listed for this composition = 136.4 meV/atom

***

Entry 4:
Density functional theory data (PBE-GGA) for an optimized crystal structure of AsPSe.

Cell lengths 8.2389, 8.0936, 2.8574 Å; angles 82.81, 77.07, 20.13 degrees
Fractional positions:
As (0.9728, 0.9728, 0.0272)
P (0.3609, 0.3609, 0.6391)
Se (0.6662, 0.6662, 0.3338)

Size of the total moment = 0.0 μB/cell
Crystal system = orthorhombic
Energy relative to the lowest polymorph listed for this composition = 342.2 meV/atom

***

Entry 5:
Density functional theory data (PBE-GGA) for an optimized crystal structure of AsPSe2.

Cell lengths 3.3404, 3.3404, 6.7161 Å; angles 90.00, 90.00, 90.00 degrees
Fractional positions:
As (0.5000, 0.5000, 0.2500)
P (0.5000, 0.5000, 0.7500)
Se (0.0000, 0.0000, 0.9907)
Se (0.0000, 0.0000, 0.5093)

Size of the total moment = 0.0 μB/cell
Crystal system = tetragonal
Energy relative to the lowest polymorph listed for this composition = 441.9 meV/atom

***

Entry 6:
Density functional theory data (PBE-GGA) for an optimized crystal structure of As2PSe.

Cell lengths 3.7637, 4.6234, 4.8583 Å; angles 70.31, 90.00, 90.00 degrees
Fractional positions:
As (0.0000, 0.0067, 0.0346)
As (0.0000, 0.4933, 0.4654)
P (0.5000, 0.2500, 0.2500)
Se (0.5000, 0.7500, 0.7500)

Size of the total moment = 0.0 μB/cell
Crystal system = monoclinic
Energy relative to the lowest polymorph listed for this composition = 26.0 meV/atom

***

Entry 7:
Density functional theory data (PBE-GGA) for an optimized crystal structure of AsPSe2.

Cell lengths 8.8397, 8.8397, 8.8397 Å; angles 157.55, 157.54, 31.97 degrees
Fractional positions:
As (0.5605, 0.5605, 0.0000)
P (0.6968, 0.1968, 0.5000)
Se (0.9962, 0.9962, 0.0000)
Se (0.2465, 0.7465, 0.5000)

Size of the total moment = 0.0 μB/cell
Crystal system = orthorhombic
Energy relative to the lowest polymorph listed for this composition = 93.0 meV/atom

***

Entry 8:
Density functional theory data (PBE-GGA) for an optimized crystal structure of AsP2Se.

Cell lengths 4.1410, 4.1410, 8.8208 Å; angles 90.00, 90.00, 132.27 degrees
Fractional positions:
As (0.5000, 0.5000, 0.7419)
P (0.0000, 0.0000, 0.0274)
P (0.5000, 0.5000, 0.1802)
Se (0.0000, 0.0000, 0.5504)

Size of the total moment = 0.0 μB/cell
Crystal system = orthorhombic
Energy relative to the lowest polymorph listed for this composition = 183.0 meV/atom

***

Entry 9:
Density functional theory data (PBE-GGA) for an optimized crystal structure of AsPSe2.

Cell lengths 8.4219, 8.4219, 4.0008 Å; angles 86.00, 86.00, 22.94 degrees
Fractional positions:
As (0.5543, 0.5543, 0.3937)
P (0.1992, 0.1992, 0.3692)
Se (0.9933, 0.9933, 0.0515)
Se (0.7531, 0.7531, 0.6856)

Size of the total moment = 0.0 μB/cell
Crystal system = monoclinic
Energy relative to the lowest polymorph listed for this composition = 9.6 meV/atom

***

Entry 10:
Density functional theory data (PBE-GGA) for an optimized crystal structure of AsPSe2.

Cell lengths 3.6302, 7.7164, 3.6233 Å; angles 90.00, 90.00, 90.00 degrees
Fractional positions:
As (0.5000, 0.0000, 0.5000)
P (0.0000, 0.5000, 0.5000)
Se (0.0000, 0.0000, 0.0000)
Se (0.5000, 0.5000, 0.0000)

Size of the total moment = 0.0 μB/cell
Crystal system = orthorhombic
Energy relative to the lowest polymorph listed for this composition = 302.8 meV/atom

***

Entry 11:
Density functional theory data (PBE-GGA) for an optimized crystal structure of As2PSe.

Cell lengths 6.8585, 6.8585, 6.8585 Å; angles 31.81, 31.81, 31.81 degrees
Fractional positions:
As (0.9996, 0.9996, 0.9996)
As (0.2431, 0.2431, 0.2431)
P (0.5075, 0.5075, 0.5075)
Se (0.7498, 0.7498, 0.7498)

Size of the total moment = 0.0 μB/cell
Crystal system = trigonal
Energy relative to the lowest polymorph listed for this composition = 51.5 meV/atom

***

Entry 12:
Density functional theory data (PBE-GGA) for an optimized crystal structure of AsP2Se.

Cell lengths 4.6100, 4.6100, 4.6100 Å; angles 60.00, 60.00, 60.00 degrees
Fractional positions:
As (0.5000, 0.5000, 0.5000)
P (0.0000, 0.0000, 0.0000)
P (0.2500, 0.2500, 0.2500)
Se (0.7500, 0.7500, 0.7500)

Size of the total moment = 0.0 μB/cell
Crystal system = cubic
Energy relative to the lowest polymorph listed for this composition = 481.8 meV/atom